No. 1
Density functional theory data (GGA-PBE) for a geometry-optimized CaOs2CO structure.

The structure in POSCAR format:
```
CaOs2CO
1.0
4.9029 0.0000 0.0000
0.0000 3.9136 0.0000
0.0000 0.0000 4.9029
C O Ca Os
1 1 1 2
direct
0.5000 0.5000 0.5000 C
0.0000 0.5000 0.0000 O
0.0000 0.0000 0.0000 Ca
0.5000 0.0000 0.0000 Os
0.0000 0.0000 0.5000 Os
```

Properties
Space-group type   No. 123

---

No. 2
Density functional theory data (GGA-PBE) for a geometry-optimized HoPuSnHg structure.

The structure in POSCAR format:
```
HoPuSnHg
1.0
5.3129 0.0000 0.0000
2.6564 4.6011 0.0000
2.6564 1.5337 4.3379
Hg Pu Sn Ho
1 1 1 1
direct
0.7500 0.7500 0.7500 Hg
0.5000 0.5000 0.5000 Pu
0.2500 0.2500 0.2500 Sn
0.0000 0.0000 0.0000 Ho
```

Properties
Space-group type   No. 216
Formation energy   -388 meV per atom

---

Final energy values (in eV/f.u.) by entry order: -21.12; -24.77.